Crystalline LiAlOF2 at its relaxed geometry, computed with PBEsol.

Cell lengths 3.276, 3.276, 3.917 Å; angles 90.00, 90.00, 90.00 degrees
Fractional coordinates of all 5 atoms:
F 0.000 0.500 0.000
Al 0.500 0.500 0.500
Li 0.000 0.000 0.000
O 0.000 0.000 0.500
F 0.500 0.000 0.000

Summary:
The value obtained for the raw formation energy is -1.85 eV per atom. As for the volume: 42 Å³ per cell.